Pm2MnSeO8 | GGA+U | relaxed

## Properties
Total energy ... -77.78 eV per cell
Total magnetization ... 7.00 μB per formula unit
Symmetry ... P-3m1 (164)

Unit cell a=5.3500 b=5.3500 c=6.2575 alpha=90.00 beta=90.00 gamma=120.00
Closest atoms and distances in Å follow each position.
Atoms (fractional coordinates):
Se: 0.0000 0.0000 0.0000  6 O 1.81
Pm: 0.6667 0.3333 0.1446  1 O 2.19
Pm: 0.3333 0.6667 0.8554  1 O 2.19
O: 0.3333 0.6667 0.5048  1 Pm 2.19
O: 0.3163 0.1581 0.8303  1 Se 1.81
O: 0.1581 0.3163 0.1697  1 Se 1.81
O: 0.6667 0.3333 0.4952  1 Pm 2.19
O: 0.8419 0.1581 0.8303  1 Se 1.81
O: 0.1581 0.8419 0.1697  1 Se 1.81
O: 0.6837 0.8419 0.1697  1 Se 1.81
O: 0.8419 0.6837 0.8303  1 Se 1.81
Mn: 0.0000 0.0000 0.5000  6 O 2.53